Entry 1:
# Sb2AsRh

An optimized crystal structure of Sb2AsRh (PBE, the Alexandria database).

Cell and atoms, written as extended XYZ:
```
8
Lattice="4.614 0.000 0.000 0.000 4.614 0.000 0.000 0.000 7.756" Properties=species:S:1:pos:R:3 pbc="T T T"
Sb 0.000 2.307 1.939
Sb 0.000 2.307 5.817
Sb 2.307 0.000 1.939
Sb 2.307 0.000 5.817
As 0.000 0.000 0.000
As 2.307 2.307 3.878
Rh 0.000 0.000 3.878
Rh 2.307 2.307 0.000
```

Total DFT energy (no corrections) ... -4.86 eV/atom
Space group ... I4/mmm (139)
Volume ... 20.64 Å³ per atom
Mass density ... 8.47 g cm⁻³

=====

Entry 2:
# UOs2Ru

An optimized crystal structure of UOs2Ru (PBE, the Alexandria database).

Cell and atoms, written as extended XYZ:
```
4
Lattice="4.001 0.000 0.000 0.000 4.001 0.000 0.000 0.000 4.053" Properties=species:S:1:pos:R:3 pbc="T T T"
U 0.000 0.000 0.000
Os 0.000 2.001 2.026
Os 2.001 0.000 2.026
Ru 2.001 2.001 0.000
```

Total DFT energy (no corrections) ... -10.97 eV/atom
Calculated formation energy ... -0.84 eV per formula unit
Space group ... P4/mmm (123)
Volume ... 16.22 Å³ per atom
Mass density ... 18.42 g cm⁻³

=====

Entry 3:
# UAsS

An optimized crystal structure of UAsS (PBE, the Alexandria database).

Cell and atoms, written as extended XYZ:
```
12
Lattice="3.878 0.000 0.000 0.000 3.878 0.000 0.000 0.000 16.091" Properties=species:S:1:pos:R:3 pbc="T T T"
U 0.000 0.000 2.318
U 0.000 0.000 13.773
U 1.939 1.939 5.727
U 1.939 1.939 10.364
As 0.000 1.939 0.000
As 0.000 1.939 8.045
As 1.939 0.000 0.000
As 1.939 0.000 8.045
S 0.000 0.000 5.098
S 0.000 0.000 10.993
S 1.939 1.939 2.947
S 1.939 1.939 13.144
```

Total DFT energy (no corrections) ... -7.79 eV/atom
Space group ... I4/mmm (139)
Volume ... 20.17 Å³ per atom
Mass density ... 9.47 g cm⁻³